# Tb4Er5Al

A relaxed structure of Tb4Er5Al (PBE, Alexandria).

Cell: 3.5181 3.5181 23.9657 Å, 90.00 90.00 90.00°
With the nearest neighbours (Å) after each atom.
Space group P4/mmm (No. 123)
One atom of each set of equivalent atoms:
Tb1 0.0000 0.0000 0.1048 x2  4 Tb 3.52, 8 Er 3.53-3.54
Tb2 0.0000 0.0000 0.3148 x2  4 Tb 3.52, 8 Er 3.54-3.56
Er1 0.5000 0.5000 0.0000 x1  4 Er 3.52, 8 Tb 3.53
Er2 0.5000 0.5000 0.2100 x2  4 Er 3.52, 8 Tb 3.54
Er3 0.5000 0.5000 0.4214 x2  4 Al 3.12
Al1 0.0000 0.0000 0.5000 x1  8 Er 3.12


# Ho8HgPd2

A relaxed structure of Ho8HgPd2 (PBE, Alexandria).

Cell: 8.5472 13.5207 5.4732 Å, 90.00 106.44 90.00°
With the nearest neighbours (Å) after each atom.
Space group C2/m (No. 12)
One atom of each set of equivalent atoms:
Ho1 0.0000 0.2351 0.0000 x4  2 Pd 2.88, 1 Hg 3.18
Ho2 0.1132 0.5000 0.8106 x4  2 Pd 3.17, 1 Hg 3.17, 4 Ho 3.21-3.43
Ho3 0.2085 0.1241 0.5868 x8  2 Pd 2.85-2.95
Hg1 0.0000 0.0000 0.0000 x2  4 Ho 3.17-3.18
Pd1 0.0000 0.3022 0.5000 x4  8 Ho 2.85-3.17


# Nd5Sm3Er3

A relaxed structure of Nd5Sm3Er3 (PBE, Alexandria).

Cell: 9.7961 9.7961 5.5194 Å, 90.00 90.00 120.00°
With the nearest neighbours (Å) after each atom.
Space group P-62m (No. 189)
One atom of each set of equivalent atoms:
Nd1 0.0000 0.2674 0.0000 x3  2 Sm 3.20, 3 Er 3.22-3.58
Nd2 0.3333 0.6667 0.0000 x2  3 Er 3.11
Sm1 0.0000 0.4327 0.5000 x3  2 Nd 3.20, 2 Er 3.38
Er1 0.0000 0.6324 0.0000 x3  4 Nd 3.11-3.22, 2 Sm 3.38


no.,energy of formation from the pure elements (eV/atom),DOS(E_F) (states/eV/atom),raw total energy (eV/f.u.)
1,-0.06,1.340,-45.7
2,-0.31,1.341,-50.7
3,0.76,1.758,-43.4